# Zr3CN2, optimized geometry, DFT PBE
# total magnetic moment	0.00	μB per cell
data_Zr3CN2
_chemical_formula_sum 'Zr3 C1 N2'
_symmetry_space_group_name_H-M 'P 1'
_symmetry_Int_Tables_number 1
_cell_length_a 3.284
_cell_length_b 3.284
_cell_length_c 8.031
_cell_angle_alpha 90.00
_cell_angle_beta 90.00
_cell_angle_gamma 120.00
loop_
_symmetry_equiv_pos_as_xyz
'x,y,z'
loop_
_atom_site_label
_atom_site_fract_x
_atom_site_fract_y
_atom_site_fract_z
_atom_site_occupancy
C1 0.000 0.000 0.500 1
N1 0.333 0.667 0.162 1
N2 0.667 0.333 0.838 1
Zr1 0.000 0.000 0.000 1
Zr2 0.667 0.333 0.335 1
Zr3 0.333 0.667 0.665 1


# Zr3C2N, optimized geometry, DFT PBE
# total magnetic moment	0.00	μB per cell
data_Zr3C2N
_chemical_formula_sum 'Zr3 C2 N1'
_symmetry_space_group_name_H-M 'P 1'
_symmetry_Int_Tables_number 1
_cell_length_a 3.311
_cell_length_b 3.311
_cell_length_c 8.114
_cell_angle_alpha 90.00
_cell_angle_beta 90.00
_cell_angle_gamma 120.00
loop_
_symmetry_equiv_pos_as_xyz
'x,y,z'
loop_
_atom_site_label
_atom_site_fract_x
_atom_site_fract_y
_atom_site_fract_z
_atom_site_occupancy
C1 0.667 0.333 0.329 1
C2 0.333 0.667 0.671 1
N1 0.000 0.000 0.000 1
Zr1 0.333 0.667 0.170 1
Zr2 0.000 0.000 0.500 1
Zr3 0.667 0.333 0.830 1


# Na5Ni3C3, optimized geometry, DFT PBE
# total magnetic moment	0.01	μB per cell
data_Na5Ni3C3
_chemical_formula_sum 'Na5 Ni3 C3'
_symmetry_space_group_name_H-M 'P 1'
_symmetry_Int_Tables_number 1
_cell_length_a 8.005
_cell_length_b 8.005
_cell_length_c 3.553
_cell_angle_alpha 90.00
_cell_angle_beta 90.00
_cell_angle_gamma 120.00
loop_
_symmetry_equiv_pos_as_xyz
'x,y,z'
loop_
_atom_site_label
_atom_site_fract_x
_atom_site_fract_y
_atom_site_fract_z
_atom_site_occupancy
C1 0.365 0.000 0.000 1
C2 0.000 0.365 0.000 1
C3 0.635 0.635 0.000 1
Na1 0.740 0.000 0.000 1
Na2 0.260 0.260 0.000 1
Na3 0.667 0.333 0.000 1
Na4 0.333 0.667 0.000 1
Na5 0.000 0.740 0.000 1
Ni1 0.366 0.000 0.500 1
Ni2 0.000 0.366 0.500 1
Ni3 0.634 0.634 0.500 1


# NaNi3C, optimized geometry, DFT PBE
# total magnetic moment	0.01	μB per cell
data_NaNi3C
_chemical_formula_sum 'Na2 Ni6 C2'
_symmetry_space_group_name_H-M 'P 1'
_symmetry_Int_Tables_number 1
_cell_length_a 5.050
_cell_length_b 5.050
_cell_length_c 5.002
_cell_angle_alpha 90.00
_cell_angle_beta 90.00
_cell_angle_gamma 119.02
loop_
_symmetry_equiv_pos_as_xyz
'x,y,z'
loop_
_atom_site_label
_atom_site_fract_x
_atom_site_fract_y
_atom_site_fract_z
_atom_site_occupancy
C1 0.663 0.337 0.238 1
C2 0.337 0.663 0.738 1
Na1 0.009 0.991 0.238 1
Na2 0.991 0.009 0.738 1
Ni1 0.032 0.495 0.026 1
Ni2 0.505 0.968 0.026 1
Ni3 0.467 0.533 0.418 1
Ni4 0.495 0.032 0.526 1
Ni5 0.968 0.505 0.526 1
Ni6 0.533 0.467 0.918 1


Crystalline NaPd3C at its relaxed geometry, computed with PBE.

Cell and atoms, written as CIF:
```
data_NaPd3C
_chemical_formula_sum 'Na2 Pd6 C2'
_symmetry_space_group_name_H-M 'P 1'
_symmetry_Int_Tables_number 1
_cell_length_a 5.640
_cell_length_b 5.640
_cell_length_c 5.427
_cell_angle_alpha 93.05
_cell_angle_beta 93.05
_cell_angle_gamma 59.98
loop_
_symmetry_equiv_pos_as_xyz
'x,y,z'
loop_
_atom_site_label
_atom_site_fract_x
_atom_site_fract_y
_atom_site_fract_z
_atom_site_occupancy
C1 0.833 0.833 0.500 1
C2 0.167 0.167 0.500 1
Na1 0.500 0.500 0.000 1
Na2 0.500 0.500 0.500 1
Pd1 0.993 0.993 0.250 1
Pd2 0.996 0.493 0.250 1
Pd3 0.493 0.996 0.250 1
Pd4 0.507 0.004 0.750 1
Pd5 0.004 0.507 0.750 1
Pd6 0.007 0.007 0.750 1
```


Crystalline NaPd3C at its relaxed geometry, computed with PBE.

Cell and atoms, written as CIF:
```
data_NaPd3C
_chemical_formula_sum 'Na2 Pd6 C2'
_symmetry_space_group_name_H-M 'P 1'
_symmetry_Int_Tables_number 1
_cell_length_a 5.637
_cell_length_b 5.637
_cell_length_c 5.430
_cell_angle_alpha 90.00
_cell_angle_beta 90.00
_cell_angle_gamma 120.00
loop_
_symmetry_equiv_pos_as_xyz
'x,y,z'
loop_
_atom_site_label
_atom_site_fract_x
_atom_site_fract_y
_atom_site_fract_z
_atom_site_occupancy
C1 0.667 0.333 0.500 1
C2 0.333 0.667 0.500 1
Na1 0.000 0.000 0.000 1
Na2 0.000 0.000 0.500 1
Pd1 0.500 0.000 0.251 1
Pd2 0.000 0.500 0.251 1
Pd3 0.500 0.500 0.251 1
Pd4 0.500 0.000 0.749 1
Pd5 0.000 0.500 0.749 1
Pd6 0.500 0.500 0.749 1
```


# RbNaPtC2, optimized geometry, DFT PBE
# total magnetic moment	0.00	μB per cell
data_RbNaPtC2
_chemical_formula_sum 'Rb1 Na1 Pt1 C2'
_symmetry_space_group_name_H-M 'P 1'
_symmetry_Int_Tables_number 1
_cell_length_a 5.096
_cell_length_b 5.096
_cell_length_c 5.233
_cell_angle_alpha 90.00
_cell_angle_beta 90.00
_cell_angle_gamma 120.00
loop_
_symmetry_equiv_pos_as_xyz
'x,y,z'
loop_
_atom_site_label
_atom_site_fract_x
_atom_site_fract_y
_atom_site_fract_z
_atom_site_occupancy
C1 0.667 0.333 0.361 1
C2 0.667 0.333 0.604 1
Na1 0.000 0.000 0.763 1
Pt1 0.667 0.333 0.981 1
Rb1 0.333 0.667 0.292 1


# Nb3C, optimized geometry, DFT PBE
# total magnetic moment	0.00	μB per cell
data_Nb3C
_chemical_formula_sum 'Nb6 C2'
_symmetry_space_group_name_H-M 'P 1'
_symmetry_Int_Tables_number 1
_cell_length_a 4.627
_cell_length_b 8.780
_cell_length_c 3.050
_cell_angle_alpha 90.00
_cell_angle_beta 90.00
_cell_angle_gamma 90.00
loop_
_symmetry_equiv_pos_as_xyz
'x,y,z'
loop_
_atom_site_label
_atom_site_fract_x
_atom_site_fract_y
_atom_site_fract_z
_atom_site_occupancy
C1 0.500 0.500 0.116 1
C2 0.000 0.000 0.884 1
Nb1 0.000 0.500 0.055 1
Nb2 0.000 0.172 0.389 1
Nb3 0.000 0.828 0.389 1
Nb4 0.500 0.328 0.611 1
Nb5 0.500 0.672 0.611 1
Nb6 0.500 0.000 0.945 1


# NbC8, optimized geometry, DFT PBE
# total magnetic moment	0.69	μB per cell
data_NbC8
_chemical_formula_sum 'Nb1 C8'
_symmetry_space_group_name_H-M 'P 1'
_symmetry_Int_Tables_number 1
_cell_length_a 5.010
_cell_length_b 5.010
_cell_length_c 3.866
_cell_angle_alpha 90.00
_cell_angle_beta 90.00
_cell_angle_gamma 120.00
loop_
_symmetry_equiv_pos_as_xyz
'x,y,z'
loop_
_atom_site_label
_atom_site_fract_x
_atom_site_fract_y
_atom_site_fract_z
_atom_site_occupancy
C1 0.337 0.168 0.000 1
C2 0.832 0.168 0.000 1
C3 0.667 0.333 0.000 1
C4 0.168 0.337 0.000 1
C5 0.832 0.663 0.000 1
C6 0.333 0.667 0.000 1
C7 0.168 0.832 0.000 1
C8 0.663 0.832 0.000 1
Nb1 0.000 0.000 0.500 1


# NbC4, optimized geometry, DFT PBE
# total magnetic moment	0.00	μB per cell
data_NbC4
_chemical_formula_sum 'Nb2 C8'
_symmetry_space_group_name_H-M 'P 1'
_symmetry_Int_Tables_number 1
_cell_length_a 2.646
_cell_length_b 2.646
_cell_length_c 12.755
_cell_angle_alpha 90.00
_cell_angle_beta 90.00
_cell_angle_gamma 120.00
loop_
_symmetry_equiv_pos_as_xyz
'x,y,z'
loop_
_atom_site_label
_atom_site_fract_x
_atom_site_fract_y
_atom_site_fract_z
_atom_site_occupancy
C1 0.667 0.333 0.020 1
C2 0.667 0.333 0.141 1
C3 0.000 0.000 0.182 1
C4 0.333 0.667 0.482 1
C5 0.667 0.333 0.518 1
C6 0.000 0.000 0.818 1
C7 0.333 0.667 0.859 1
C8 0.333 0.667 0.980 1
Nb1 0.667 0.333 0.333 1
Nb2 0.333 0.667 0.667 1


Number 1: E -10.007 eV/atom. Number 2: E -9.877 eV/atom. Number 3: E -4.182 eV/atom. Number 4: E -5.317 eV/atom. Number 5: E -5.131 eV/atom. Number 6: E -5.131 eV/atom. Number 7: E -5.365 eV/atom. Number 8: E -10.149 eV/atom. Number 9: E -8.953 eV/atom. Number 10: E -8.865 eV/atom.